(1)
This record from the Alexandria database describes Cr4Pb3 after structural relaxation. The functional is PBE-GGA.

calculated density: 9.6 g cm⁻³
magnetization: 0.5 μB/cell
energy relative to the lowest polymorph listed for this composition: 0.000 eV per atom
crystal system: tetragonal

a = 3.2495 Å, b = 3.2495 Å, c = 27.1025 Å
α = 90.00°, β = 90.00°, γ = 90.00°
Space group I4/mmm (No. 139)
Asymmetric unit:
Cr 0.0000 0.0000 0.0750 (multiplicity 4)
Cr 0.0000 0.0000 0.3854 (multiplicity 4)
Pb 0.0000 0.0000 0.1908 (multiplicity 4)
Pb 0.0000 0.0000 0.5000 (multiplicity 2)

***

(2)
This record from the Alexandria database describes Fe2OsPt after structural relaxation. The functional is PBE-GGA.

calculated density: 15.3 g cm⁻³
magnetization: 5.5 μB/cell
energy relative to the lowest polymorph listed for this composition: 0.128 eV per atom
crystal system: tetragonal

a = 3.0945 Å, b = 3.0945 Å, c = 5.6401 Å
α = 90.00°, β = 90.00°, γ = 90.00°
Space group P4/mmm (No. 123)
Asymmetric unit:
Fe 0.0000 0.0000 0.2392 (multiplicity 2)
Os 0.5000 0.5000 0.0000 (multiplicity 1)
Pt 0.5000 0.5000 0.5000 (multiplicity 1)

***

(3)
This record from the Alexandria database describes Ti3O5 after structural relaxation. The functional is PBE-GGA.

calculated density: 3.9 g cm⁻³
magnetization: 7.8 μB/cell
energy relative to the lowest polymorph listed for this composition: 0.012 eV per atom
crystal system: orthorhombic

a = 3.7933 Å, b = 9.8966 Å, c = 10.0701 Å
α = 90.00°, β = 90.00°, γ = 90.00°
Space group Cmcm (No. 63)
Asymmetric unit:
Ti 0.0000 0.1305 0.0571 (multiplicity 8)
Ti 0.0000 0.1983 0.7500 (multiplicity 4)
O 0.0000 0.0514 0.6229 (multiplicity 8)
O 0.0000 0.2327 0.2500 (multiplicity 4)
O 0.0000 0.3171 0.5690 (multiplicity 8)

***

(4)
This record from the Alexandria database describes TiBi2Te after structural relaxation. The functional is PBE-GGA.

calculated density: 6.3 g cm⁻³
magnetization: 6.7 μB/cell
crystal system: tetragonal
total DFT energy (no corrections): -68.40 eV for the cell shown

a = 6.4466 Å, b = 6.4466 Å, c = 15.0550 Å
α = 90.00°, β = 90.00°, γ = 90.00°
Space group I-42d (No. 122)
Asymmetric unit:
Ti 0.0000 0.0000 0.0000 (multiplicity 4)
Bi 0.1974 0.2500 0.1250 (multiplicity 8)
Te 0.0000 0.0000 0.5000 (multiplicity 4)

***

(5)
This record from the Alexandria database describes LaCeTlCd after structural relaxation. The functional is PBE-GGA.

calculated density: 8.2 g cm⁻³
magnetization: 7.6 μB/cell
energy relative to the lowest polymorph listed for this composition: 0.000 eV per atom
crystal system: cubic

a = 7.8425 Å, b = 7.8425 Å, c = 7.8425 Å
α = 90.00°, β = 90.00°, γ = 90.00°
Space group F-43m (No. 216)
Asymmetric unit:
La 0.0000 0.0000 0.0000 (multiplicity 4)
Ce 0.0000 0.0000 0.5000 (multiplicity 4)
Tl 0.2500 0.2500 0.7500 (multiplicity 4)
Cd 0.2500 0.2500 0.2500 (multiplicity 4)

***

(6)
This record from the Alexandria database describes AcDy2Y6Ho3 after structural relaxation. The functional is PBE-GGA.

calculated density: 6.7 g cm⁻³
magnetization: 0.0 μB/cell
crystal system: monoclinic
total DFT energy (no corrections): -130.88 eV for the cell shown

a = 6.2219 Å, b = 10.7680 Å, c = 11.8830 Å
α = 90.00°, β = 100.01°, γ = 90.00°
Space group C2/m (No. 12)
Asymmetric unit:
Ac 0.0000 0.0000 0.0000 (multiplicity 2)
Dy 0.0000 0.3334 0.0000 (multiplicity 4)
Y 0.2463 0.3320 0.7454 (multiplicity 8)
Y 0.2493 0.5000 0.2548 (multiplicity 4)
Ho 0.0000 0.1670 0.5000 (multiplicity 4)
Ho 0.0000 0.5000 0.5000 (multiplicity 2)

***

Question: Which value of magnetization does entry 4 give?
Answer: 6.7 μB/cell